# 1
VASP calculation (PBE) on a relaxed structure of Nd2Tm3Mg.

Output
ΔE_f (eV per formula unit): 0.80
Fermi-level density of states (states/eV/f.u.): 7.347

POSCAR file:
```
Nd2Tm3Mg
1.0
4.915 -5.760 0.000
4.915 5.760 0.000
-0.607 0.000 6.719
Nd Tm Mg
4 6 2
Direct
0.071 0.602 0.801
0.398 0.929 0.699
0.602 0.071 0.301
0.929 0.398 0.199
0.047 0.953 0.250
0.294 0.326 0.513
0.326 0.294 0.013
0.674 0.706 0.987
0.706 0.674 0.487
0.953 0.047 0.750
0.320 0.680 0.250
0.680 0.320 0.750
```


# 2
VASP calculation (PBE) on a relaxed structure of NdTmMg.

Output
ΔE_f (eV per formula unit): -0.13
Fermi-level density of states (states/eV/f.u.): 3.867

POSCAR file:
```
NdTmMg
1.0
2.612 -6.471 0.000
2.612 6.471 0.000
0.000 0.000 5.247
Nd Tm Mg
2 2 2
Direct
0.090 0.910 0.750
0.910 0.090 0.250
0.408 0.592 0.750
0.592 0.408 0.250
0.250 0.750 0.250
0.750 0.250 0.750
```


The highest Fermi-level density of states belongs to which entry?
Nd2Tm3Mg